(1)
Cs2Se2S: relaxed, PBEsol.

a b c (Å): 6.909 6.909 7.498
angles (deg): 90.00 90.00 90.00
Space group I4/mmm (No. 139)
Unique sites:
Cs (0.000, 0.500, 0.250)
Se (0.000, 0.000, 0.172)
S (0.000, 0.000, 0.500)

Values from the calculation:
* DOS(E_F): 9.2 states/eV per cell
* E_form (uncorrected): -0.623 eV/atom
* ρ: 4.2 Mg/m³
* electronic total energy: -3.417 eV/atom

---

(2)
Cs2SeS: relaxed, PBEsol.

a b c (Å): 11.579 11.579 5.108
angles (deg): 90.00 90.00 90.00
Space group I-42d (No. 122)
Unique sites:
Cs (0.106, 0.750, 0.125)
Se (0.000, 0.000, 0.500)
S (0.000, 0.000, 0.000)

Values from the calculation:
* DOS(E_F): 10.3 states/eV per cell
* E_form (uncorrected): -0.698 eV/atom
* ρ: 3.7 Mg/m³
* electronic total energy: -3.228 eV/atom

---

> What is the ρ in the second record?

3.7 Mg/m³